(1)
# Ac4PrSi4, optimized geometry, DFT GGA-PBE
# uncorrected formation energy = -394 meV/atom
# final energy = -92.911 eV for the cell shown
# V = 582.2 Å³ per cell
# magnetic moment = 0.806 μB per formula unit
# calculated density = 6.62 g/cm³
# DOS at the Fermi energy = 0.94 states/eV/atom
data_Ac4PrSi4
_chemical_formula_sum 'Ac8 Pr2 Si8'
_space_group_name_H-M_alt 'P 42/n'
_space_group_IT_number 86
_cell_length_a 9.658
_cell_length_b 9.658
_cell_length_c 6.241
_cell_angle_alpha 90.00
_cell_angle_beta 90.00
_cell_angle_gamma 90.00
loop_
_space_group_symop_operation_xyz
'x,y,z'
'-x,-y,-z'
'-y,x+1/2,z+1/2'
'y,-x+1/2,-z+1/2'
'-x+1/2,-y+1/2,z'
'x+1/2,y+1/2,-z'
'y+1/2,-x,z+1/2'
'-y+1/2,x,-z+1/2'
loop_
_atom_site_label
_atom_site_type_symbol
_atom_site_fract_x
_atom_site_fract_y
_atom_site_fract_z
Ac1 Ac 0.044 0.686 0.115
Pr1 Pr 0.250 0.250 0.250
Si1 Si 0.004 0.395 0.395

(2)
# MnTeAu2, optimized geometry, DFT GGA-PBE
# uncorrected formation energy = 121 meV/atom
# final energy = -18.383 eV for the cell shown
# V = 79.2 Å³ per cell
# magnetic moment = 4.477 μB per formula unit
# calculated density = 12.08 g/cm³
# DOS at the Fermi energy = 0.41 states/eV/atom
data_MnTeAu2
_chemical_formula_sum 'Mn1 Te1 Au2'
_space_group_name_H-M_alt 'P 4/m m m'
_space_group_IT_number 123
_space_group_name_Hall '-P 4 2'
_cell_length_a 4.049
_cell_length_b 4.049
_cell_length_c 4.832
_cell_angle_alpha 90.00
_cell_angle_beta 90.00
_cell_angle_gamma 90.00
loop_
_atom_site_label
_atom_site_type_symbol
_atom_site_fract_x
_atom_site_fract_y
_atom_site_fract_z
Mn1 Mn 0.000 0.000 0.000
Te1 Te 0.500 0.500 0.000
Au1 Au 0.000 0.500 0.500